Model w:
The following is a PBE calculation of a relaxed structure of SbTe2BrF, from Alexandria.

Results
Its theoretical density is 5.81 Mg/m³. The calculation puts the density of states at the Fermi level at 3.38 states/eV per cell.

Geometry as POSCAR:
```
SbTe2BrF
1.0
4.731 0.000 0.000
0.000 4.731 0.000
0.000 0.000 6.078
Sb Br F Te
1 1 1 2
Direct
0.000 0.000 0.500 Sb
0.500 0.500 0.500 Br
0.000 0.000 0.000 F
0.500 0.000 0.000 Te
0.000 0.500 0.000 Te
```

=====

Model x:
The following is a PBE calculation of a relaxed structure of SbTe2BrF, from Alexandria.

Results
Its theoretical density is 4.53 Mg/m³. The calculation puts the density of states at the Fermi level at 6.93 states/eV per cell.

Geometry as POSCAR:
```
SbTe2BrF
1.0
-1.311 -5.217 -1.480
5.342 -1.504 0.568
-0.935 -1.291 5.377
Te Sb F Br
2 1 1 1
Direct
0.000 0.500 0.000 Te
0.500 0.000 0.000 Te
0.000 0.000 0.500 Sb
0.500 0.500 0.500 F
0.000 0.000 0.000 Br
```

=====

The most stable of them is model w.